The following is a DFT calculation (PBE) of an optimized crystal structure of Ce2Ga2Au.

Energy of formation from the pure elements (meV/atom): -604
Distance to the lowest polymorph of the same formula (meV per atom): 0
Total moment (μB per formula unit): 1.6
Symmetry: No. 12

Lattice parameters (Å, degrees): 5.8180 5.8180 10.7599 114.97 114.97 46.11
With the nearest neighbours (Å) after each atom.
Sites, in units of the cell vectors:
1 Ce 0.0173 0.0173 0.3294  7 Ga 3.14-3.33, 4 Au 3.15-3.33
2 Ce 0.1817 0.1817 0.1037  6 Ga 3.11-3.23, 2 Au 3.29
3 Ce 0.8183 0.8183 0.8963  6 Ga 3.11-3.23, 2 Au 3.29
4 Ce 0.9827 0.9827 0.6706  7 Ga 3.14-3.33, 4 Au 3.15-3.33
5 Ga 0.3636 0.3636 0.4397  1 Ga 2.60, 2 Au 2.65
6 Ga 0.4761 0.4761 0.1126  1 Au 2.70, 1 Ga 2.70
7 Ga 0.5239 0.5239 0.8874  1 Au 2.70, 1 Ga 2.70
8 Ga 0.6364 0.6364 0.5603  1 Ga 2.60, 2 Au 2.65
9 Au 0.2715 0.2715 0.6584  4 Ga 2.65-2.94
10 Au 0.7285 0.7285 0.3416  4 Ga 2.65-2.94

---

The following is a DFT calculation (PBE) of an optimized crystal structure of PmAlZnIr.

Energy of formation from the pure elements (meV/atom): -400
Total moment (μB per formula unit): 0.0
Symmetry: No. 216

Lattice parameters (Å, degrees): 4.7281 4.7281 4.7281 60.00 60.00 60.00
With the nearest neighbours (Å) after each atom.
Sites, in units of the cell vectors:
1 Pm 0.0000 0.0000 0.0000  4 Zn 2.90, 4 Ir 2.90
2 Al 0.5000 0.5000 0.5000  4 Ir 2.90, 4 Zn 2.90
3 Zn 0.7500 0.7500 0.7500  4 Pm 2.90, 4 Al 2.90
4 Ir 0.2500 0.2500 0.2500  4 Al 2.90, 4 Pm 2.90